This record from Alexandria via LeMat-Bulk describes an optimized crystal structure of KLi2HfBe. The functional is GGA-PBE.

Unit cell a=5.1260 b=5.1260 c=4.8414 alpha=90.00 beta=90.00 gamma=90.00
Closest atoms and distances in Å follow each position.
Space group P4/mmm (No. 123)
Symmetry-distinct sites (fractional):
K 0.0000 0.0000 0.0000 (multiplicity 1)  8 Li 3.53, 4 Hf 3.62
Li 0.0000 0.5000 0.5000 (multiplicity 2)  2 Be 2.56
Hf 0.5000 0.5000 0.0000 (multiplicity 1)  2 Be 2.42
Be 0.5000 0.5000 0.5000 (multiplicity 1)  2 Hf 2.42, 4 Li 2.56

Summary:
**Energy relative to the elements**: 744 meV per atom
**Volume**: 25.44 A^3/atom